a:
Compound: KCdBiPb
Source: Alexandria via LeMat-Bulk
Functional: PBE
Structure: relaxed

## Properties
volume	132.0	Å³/cell
total magnetization	0.00	Bohr magnetons per cell
D(E_F)	0.80	states/eV per cell

abc: 5.715 5.715 5.715
angles: 60.00 60.00 60.00
Sites, in units of the cell vectors:
Pb (0.250, 0.250, 0.250)
K (0.750, 0.750, 0.750)
Cd (0.000, 0.000, 0.000)
Bi (0.500, 0.500, 0.500)


b:
Compound: KCdBiPb
Source: Alexandria via LeMat-Bulk
Functional: PBE
Structure: relaxed

## Properties
volume	296.1	Å³/cell
total magnetization	0.00	Bohr magnetons per cell
D(E_F)	3.49	states/eV per cell

abc: 4.567 4.567 14.194
angles: 90.00 90.00 90.00
Sites, in units of the cell vectors:
Bi (0.750, 0.750, 0.860)
Pb (0.750, 0.250, 0.500)
Cd (0.250, 0.750, 0.000)
Cd (0.750, 0.250, 0.000)
K (0.750, 0.750, 0.260)
Bi (0.250, 0.250, 0.140)
Pb (0.250, 0.750, 0.500)
K (0.250, 0.250, 0.740)


Which is most stable, and by how much? b, by 22 meV/atom.


a:
Compound: La2CdBi
Source: Alexandria via LeMat-Bulk
Functional: PBE
Structure: relaxed

## Properties
volume	126.4	Å³/cell
total magnetization	0.73	Bohr magnetons per cell
D(E_F)	2.91	states/eV per cell

abc: 4.200 4.200 7.167
angles: 90.00 90.00 90.00
Sites, in units of the cell vectors:
La (0.000, 0.000, 0.247)
Cd (0.500, 0.500, 0.500)
Bi (0.500, 0.500, 0.000)
La (0.000, 0.000, 0.753)


b:
Compound: La2CdBi
Source: Alexandria via LeMat-Bulk
Functional: PBE
Structure: relaxed

## Properties
volume	277.5	Å³/cell
total magnetization	1.61	Bohr magnetons per cell
D(E_F)	9.79	states/eV per cell

abc: 8.755 8.755 7.172
angles: 52.38 52.38 90.00
Sites, in units of the cell vectors:
La (0.625, 0.125, 0.250)
Cd (0.500, 0.500, 0.000)
La (0.125, 0.625, 0.250)
La (0.875, 0.875, 0.750)
Bi (0.750, 0.250, 0.500)
Cd (0.250, 0.750, 0.500)
La (0.375, 0.375, 0.750)
Bi (0.000, 0.000, 0.000)


c:
Compound: La2CdBi
Source: Alexandria via LeMat-Bulk
Functional: PBE
Structure: relaxed

## Properties
volume	125.9	Å³/cell
total magnetization	0.00	Bohr magnetons per cell
D(E_F)	3.56	states/eV per cell

abc: 5.626 5.626 5.626
angles: 60.00 60.00 60.00
Sites, in units of the cell vectors:
La (0.750, 0.750, 0.750)
Bi (0.500, 0.500, 0.500)
La (0.250, 0.250, 0.250)
Cd (0.000, 0.000, 0.000)


Which is most stable, and by how much? a, by 64 meV/atom.